[1]
First-principles (GGA-PBEsol) data for LaY3 after structural relaxation, as listed in the Alexandria database.

Cell and atoms, written as extended XYZ:
```
4
Lattice="-1.496 -1.244 3.045 4.996 -2.270 1.527 1.505 5.255 2.886" Properties=species:S:1:pos:R:3 pbc="T T T"
Y 0.004 2.003 2.964
Y 3.003 0.629 1.732
Y 3.009 2.637 4.699
La 1.499 5.233 2.874
```

The size of the total moment is 0.00 Bohr magnetons per cell. The formation energy is 0.1 eV/f.u. Its symmetry is Pmm2, No. 25. As for the volume: 127.2 Å³/f.u.

=====

[2]
First-principles (GGA-PBEsol) data for LaY3 after structural relaxation, as listed in the Alexandria database.

Cell and atoms, written as extended XYZ:
```
4
Lattice="3.563 0.000 0.023 0.000 4.984 0.000 -0.046 0.000 7.090" Properties=species:S:1:pos:R:3 pbc="T T T"
Y 1.748 2.492 5.297
Y 1.769 2.492 1.815
Y -0.023 0.000 3.545
La 0.000 0.000 0.000
```

The size of the total moment is 0.00 Bohr magnetons per cell. The formation energy is 0.1 eV/f.u. Its symmetry is Pmmm, No. 47. As for the volume: 125.9 Å³/f.u.

=====

[3]
First-principles (GGA-PBEsol) data for LaY2 after structural relaxation, as listed in the Alexandria database.

Cell and atoms, written as extended XYZ:
```
6
Lattice="-2.561 -2.096 -1.496 0.088 -1.631 6.544 -5.256 6.615 -0.272" Properties=species:S:1:pos:R:3 pbc="T T T"
Y -4.391 1.676 0.760
Y -3.338 1.211 4.016
Y -2.480 -1.178 1.488
Y -5.249 4.066 3.287
La -4.286 5.165 0.099
La -3.443 -2.278 4.677
```

The size of the total moment is 0.00 Bohr magnetons per cell. The formation energy is 0.1 eV/f.u. Its symmetry is C2/m, No. 12. As for the volume: 96.9 Å³/f.u. The offset from the most stable computed form is 0.006 eV per atom.